# ZnInSi2, relaxed, DFT PBE
data_ZnInSi2
_symmetry_space_group_name_H-M 'P 1'
_symmetry_Int_Tables_number 1
_cell_length_a 4.717
_cell_length_b 4.717
_cell_length_c 4.717
_cell_angle_alpha 60.00
_cell_angle_beta 60.00
_cell_angle_gamma 60.00
loop_
_symmetry_equiv_pos_as_xyz
'x,y,z'
loop_
_atom_site_label
_atom_site_type_symbol
_atom_site_fract_x
_atom_site_fract_y
_atom_site_fract_z
_atom_site_occupancy
In1 In 0.500 0.500 0.500 1
Si1 Si 0.000 0.000 0.000 1
Si2 Si 0.250 0.250 0.250 1
Zn1 Zn 0.750 0.750 0.750 1
# Crystal system = cubic
# ΔE_f (raw) = 0.458 eV/atom
# Spin magnetization = 0.00 Bohr magnetons per cell
# Volume = 74.2 Å³ per cell
# ρ = 5.3 g/cm3
# DOS(E_F) = 1.95 states/eV/f.u.

# ZrInSi, relaxed, DFT PBE
data_ZrInSi
_symmetry_space_group_name_H-M 'P 1'
_symmetry_Int_Tables_number 1
_cell_length_a 3.614
_cell_length_b 5.293
_cell_length_c 11.256
_cell_angle_alpha 69.47
_cell_angle_beta 59.13
_cell_angle_gamma 46.96
loop_
_symmetry_equiv_pos_as_xyz
'x,y,z'
loop_
_atom_site_label
_atom_site_type_symbol
_atom_site_fract_x
_atom_site_fract_y
_atom_site_fract_z
_atom_site_occupancy
In1 In 0.790 0.750 0.891 1
In2 In 0.210 0.250 0.109 1
Zr1 Zr 0.173 0.250 0.389 1
Zr2 Zr 0.827 0.750 0.611 1
Si1 Si 0.269 0.750 0.328 1
Si2 Si 0.731 0.250 0.672 1
# Crystal system = triclinic
# ΔE_f (raw) = -0.332 eV/atom
# Distance to the lowest polymorph of the same formula = 0 meV per atom
# Spin magnetization = 0.00 Bohr magnetons per cell
# Volume = 135.1 Å³ per cell
# ρ = 5.8 g/cm3
# DOS(E_F) = 1.34 states/eV/f.u.

> ΔE_f (raw) of number 2 (ZrInSi)?

-0.332 eV/atom